Entry 1:
A plane-wave DFT calculation with GGA-PBE was carried out for a relaxed Y2TmTlN crystal.

Results
- ΔE_f (raw): -0.96 eV/atom

```
Y2TmTlN
1.0
-2.904 3.390 1.600
-0.178 -2.185 4.305
3.815 2.576 1.466
N Tl Y Tm
1 1 2 1
direct
0.000 0.000 0.000
0.500 0.500 0.500
0.000 0.000 0.500
0.000 0.500 0.000
0.500 0.000 0.000
```

***

Entry 2:
A plane-wave DFT calculation with GGA-PBE was carried out for a relaxed SrAcHg2 crystal.

Results
- Formation enthalpy at 0 K: -0.530 eV per atom
- E above lowest polymorph: 0.000 eV/atom

```
SrAcHg2
1.0
-0.376 -0.981 -5.587
2.767 -4.398 -2.306
-2.902 -4.501 -1.906
Ac Hg Sr
1 2 1
direct
0.500 0.500 0.500
0.250 0.250 0.250
0.750 0.750 0.750
0.000 0.000 0.000
```

***

Entry 3:
A plane-wave DFT calculation with GGA-PBE was carried out for a relaxed TcTePS2 crystal.

Results
- ΔE_f (raw): 0.35 eV/atom
- E above lowest polymorph: 0.000 eV/atom

```
TcTePS2
1.0
4.511 0.000 0.000
0.000 4.511 0.000
0.000 0.000 5.032
Tc S Te P
1 2 1 1
direct
0.000 0.000 0.000
0.000 0.500 0.000
0.500 0.000 0.000
0.500 0.500 0.500
0.000 0.000 0.500
```

***

Entry 4:
A plane-wave DFT calculation with GGA-PBE was carried out for a relaxed Ac2UTe5Pd crystal.

Results
- ΔE_f (raw): -1.12 eV/atom

```
Ac2UTe5Pd
1.0
4.432 0.000 0.000
-2.216 9.600 0.000
0.000 0.000 13.618
Te Ac U Pd
10 4 2 2
direct
0.660 0.320 0.519
0.501 0.001 0.750
0.702 0.404 0.860
0.692 0.383 0.181
0.499 0.999 0.250
0.340 0.680 0.019
0.980 0.960 0.523
0.020 0.040 0.023
0.308 0.617 0.681
0.298 0.596 0.360
0.109 0.217 0.345
0.877 0.754 0.202
0.123 0.246 0.702
0.891 0.783 0.845
0.175 0.351 0.019
0.825 0.649 0.519
0.431 0.862 0.426
0.569 0.138 0.926
```

***

Entry 5:
A plane-wave DFT calculation with GGA-PBE was carried out for a relaxed La2YI2N2 crystal.

Results
- ΔE_f (raw): -1.34 eV/atom

```
La2YI2N2
1.0
4.533 0.000 0.000
0.000 4.533 0.000
-2.267 -2.267 9.701
La I N Y
2 2 2 1
direct
0.422 0.422 0.844
0.578 0.578 0.156
0.834 0.834 0.669
0.166 0.166 0.331
0.500 0.000 0.000
0.000 0.500 0.000
0.000 0.000 0.000
```

***

Entry 6:
A plane-wave DFT calculation with GGA-PBE was carried out for a relaxed LiBeZn2 crystal.

Results
- Formation enthalpy at 0 K: 0.306 eV per atom

```
LiBeZn2
1.0
3.727 0.000 0.000
0.000 3.727 0.000
1.864 1.864 8.563
Li Be Zn
2 2 4
direct
0.250 0.750 0.500
0.500 0.500 0.000
0.000 0.000 0.000
0.750 0.250 0.500
0.649 0.125 0.250
0.375 0.351 0.750
0.875 0.899 0.750
0.101 0.625 0.250
```